# 1
Entry from the Alexandria database: an optimized crystal structure of YZnP2 (PBE).

abc: 5.6215 5.6215 5.6215
angles: 139.78 139.78 58.19
Atoms (fractional coordinates):
Y  0.0000  0.0000  0.0000
Zn  0.2500  0.7500  0.5000
P  0.5000  0.5000  0.0000
P  0.7500  0.2500  0.5000

Output
DFT total energy, eV/cell: -20.47
V, Å³ per cell: 73.40
Calculated formation energy, meV per atom: -477



# 2
Entry from the Alexandria database: an optimized crystal structure of Ba2Pd2Au (PBE).

abc: 5.9428 5.9428 5.9428
angles: 118.18 118.18 93.19
Atoms (fractional coordinates):
Ba  0.2500  0.7500  0.5000
Ba  0.7500  0.2500  0.5000
Pd  0.1625  0.1625  0.0000
Pd  0.8375  0.8375  0.0000
Au  0.5000  0.5000  0.0000

Output
DFT total energy, eV/cell: -19.96
V, Å³ per cell: 152.25
Calculated formation energy, meV per atom: -491



# 3
Entry from the Alexandria database: an optimized crystal structure of YHo2ErSe4 (PBE).

abc: 7.0377 4.0116 7.0766
angles: 90.00 108.89 90.00
Atoms (fractional coordinates):
Y  0.0000  0.0000  0.0000
Ho  0.5000  0.0000  0.5000
Ho  0.5000  0.5000  0.0000
Er  0.0000  0.5000  0.5000
Se  0.2497  0.0000  0.7477
Se  0.2514  0.5000  0.2527
Se  0.7486  0.5000  0.7473
Se  0.7503  0.0000  0.2523

Output
DFT total energy, eV/cell: -47.90
V, Å³ per cell: 189.03



# 4
Entry from the Alexandria database: an optimized crystal structure of InPPd2 (PBE).

abc: 4.5388 4.5388 4.5388
angles: 60.00 60.00 60.00
Atoms (fractional coordinates):
In  0.0000  0.0000  0.0000
P  0.5000  0.5000  0.5000
Pd  0.2500  0.2500  0.2500
Pd  0.7500  0.7500  0.7500

Output
DFT total energy, eV/cell: -19.15
V, Å³ per cell: 66.11
Calculated formation energy, meV per atom: -154



# 5
Entry from the Alexandria database: an optimized crystal structure of Ba5Mg (PBE).

abc: 7.9476 7.9476 7.9476
angles: 60.00 60.00 60.00
Atoms (fractional coordinates):
Ba  0.0000  0.0000  0.0000
Ba  0.3758  0.3758  0.3758
Ba  0.3758  0.3758  0.8725
Ba  0.3758  0.8725  0.3758
Ba  0.8725  0.3758  0.3758
Mg  0.7500  0.7500  0.7500

Output
DFT total energy, eV/cell: -9.57
V, Å³ per cell: 354.97
Calculated formation energy, meV per atom: 272



# 6
Entry from the Alexandria database: an optimized crystal structure of Er2Si3Ni4Ru (PBE).

abc: 3.8848 3.8848 9.9294
angles: 90.00 90.00 90.00
Atoms (fractional coordinates):
Er  0.0000  0.5000  0.2459
Er  0.5000  0.0000  0.7541
Si  0.0000  0.5000  0.8744
Si  0.5000  0.0000  0.1256
Si  0.5000  0.5000  0.5000
Ni  0.0000  0.0000  0.0000
Ni  0.0000  0.5000  0.6450
Ni  0.5000  0.0000  0.3550
Ni  0.5000  0.5000  0.0000
Ru  0.0000  0.0000  0.5000

Output
DFT total energy, eV/cell: -64.55
V, Å³ per cell: 149.85